Entry a
## InCuSe2N (PBE)

Data for an optimized crystal structure of InCuSe2N.

a = 5.1124 Å, b = 5.1124 Å, c = 3.6266 Å
α = 90.00°, β = 90.00°, γ = 90.00°
With the nearest neighbours (Å) after each atom.
Space group P4/mmm (No. 123)
Symmetry-distinct sites (fractional):
In1 0.0000 0.0000 0.0000  8 Se 3.13
Cu1 0.5000 0.5000 0.5000  2 N 1.81
Se1 0.0000 0.5000 0.5000  2 Cu 2.56
N1 0.5000 0.5000 0.0000  2 Cu 1.81



Entry b
## InCuSe2N (PBE)

Data for an optimized crystal structure of InCuSe2N.

a = 5.3794 Å, b = 5.3794 Å, c = 4.1285 Å
α = 90.00°, β = 90.00°, γ = 90.00°
With the nearest neighbours (Å) after each atom.
Space group P4/mmm (No. 123)
Symmetry-distinct sites (fractional):
In1 0.0000 0.0000 0.0000  2 N 2.06
Cu1 0.5000 0.5000 0.5000  8 Se 3.39
Se1 0.0000 0.5000 0.0000  2 In 2.69
N1 0.0000 0.0000 0.5000  2 In 2.06



Which one is most stable, and which one is least stable? entry a is the most stable of them, while entry b is the least stable.



Entry a
## Na3InCu (PBE)

Data for an optimized crystal structure of Na3InCu.

a = 5.3919 Å, b = 5.3919 Å, c = 5.3919 Å
α = 90.00°, β = 90.00°, γ = 90.00°
With the nearest neighbours (Å) after each atom.
Space group Pm-3m (No. 221)
Symmetry-distinct sites (fractional):
Na1 0.0000 0.0000 0.5000  2 Cu 2.70
In1 0.5000 0.5000 0.5000  12 Na 3.81
Cu1 0.0000 0.0000 0.0000  6 Na 2.70



Entry b
## Na3InCu (PBE)

Data for an optimized crystal structure of Na3InCu.

a = 5.8250 Å, b = 5.8250 Å, c = 5.8250 Å
α = 90.00°, β = 90.00°, γ = 90.00°
With the nearest neighbours (Å) after each atom.
Space group Pm-3m (No. 221)
Symmetry-distinct sites (fractional):
Na1 0.0000 0.0000 0.5000  2 In 2.91
In1 0.0000 0.0000 0.0000  6 Na 2.91
Cu1 0.5000 0.5000 0.5000  12 Na 4.12



Which one is most stable, and which one is least stable? entry a is the most stable of them, while entry b is the least stable.



Entry a
## NaIn2Cu2 (PBE)

Data for an optimized crystal structure of NaIn2Cu2.

a = 4.5465 Å, b = 4.5465 Å, c = 10.5919 Å
α = 90.00°, β = 90.00°, γ = 90.00°
With the nearest neighbours (Å) after each atom.
Space group I4/mmm (No. 139)
Symmetry-distinct sites (fractional):
Na1 0.0000 0.0000 0.0000  8 Cu 3.43, 8 In 3.49
In1 0.0000 0.5000 0.2500  4 Cu 2.70
Cu1 0.0000 0.0000 0.3872  1 Cu 2.39



Entry b
## NaIn2Cu2 (PBE)

Data for an optimized crystal structure of NaIn2Cu2.

a = 3.3758 Å, b = 3.3758 Å, c = 19.0390 Å
α = 90.00°, β = 90.00°, γ = 90.00°
With the nearest neighbours (Å) after each atom.
Space group I4/mmm (No. 139)
Symmetry-distinct sites (fractional):
Na1 0.0000 0.0000 0.0000  4 Na 3.38, 8 In 3.43
In1 0.0000 0.0000 0.3704  4 Cu 2.85
Cu1 0.0000 0.5000 0.2500  4 Cu 2.39



Entry c
## NaIn2Cu2 (PBE)

Data for an optimized crystal structure of NaIn2Cu2.

a = 7.8622 Å, b = 7.8622 Å, c = 3.1183 Å
α = 90.00°, β = 90.00°, γ = 90.00°
With the nearest neighbours (Å) after each atom.
Space group P4/mbm (No. 127)
Symmetry-distinct sites (fractional):
Na1 0.0000 0.0000 0.0000  2 Na 3.12, 4 Cu 3.14, 8 In 3.30
In1 0.1734 0.3266 0.5000  6 Cu 2.78-2.81
Cu1 0.1192 0.6192 0.0000  1 Cu 2.65, 6 In 2.78-2.81



Which one is most stable, and which one is least stable? entry c is the most stable of them, while entry a is the least stable.



Entry a
## Nb3InCu (PBE)

Data for an optimized crystal structure of Nb3InCu.

a = 2.7707 Å, b = 4.8356 Å, c = 13.6106 Å
α = 90.00°, β = 90.00°, γ = 90.00°
With the nearest neighbours (Å) after each atom.
Space group Imm2 (No. 44)
Symmetry-distinct sites (fractional):
Nb1 0.0000 0.0000 0.0000  8 Nb 2.77-3.05, 2 Cu 2.91
Nb2 0.0000 0.0000 0.4088  2 Cu 2.75, 8 Nb 2.77-3.05, 2 In 3.08
Nb3 0.0000 0.5000 0.1056  6 Nb 2.77-3.02, 1 Cu 2.81
In1 0.0000 0.5000 0.7068  2 In 2.77, 2 Nb 3.08
Cu1 0.0000 0.5000 0.3121  5 Nb 2.75-2.91, 2 Cu 2.77



Entry b
## Nb3InCu (PBE)

Data for an optimized crystal structure of Nb3InCu.

a = 5.0237 Å, b = 5.0237 Å, c = 5.0237 Å
α = 90.00°, β = 90.00°, γ = 90.00°
With the nearest neighbours (Å) after each atom.
Space group Pm-3m (No. 221)
Symmetry-distinct sites (fractional):
Nb1 0.0000 0.0000 0.5000  2 In 2.51
In1 0.0000 0.0000 0.0000  6 Nb 2.51
Cu1 0.5000 0.5000 0.5000  12 Nb 3.55



Entry c
## Nb3InCu (PBE)

Data for an optimized crystal structure of Nb3InCu.

a = 4.6954 Å, b = 4.6954 Å, c = 4.6954 Å
α = 90.00°, β = 90.00°, γ = 90.00°
With the nearest neighbours (Å) after each atom.
Space group Pm-3m (No. 221)
Symmetry-distinct sites (fractional):
Nb1 0.0000 0.0000 0.5000  2 Cu 2.35
In1 0.5000 0.5000 0.5000  12 Nb 3.32
Cu1 0.0000 0.0000 0.0000  6 Nb 2.35



Which one is most stable, and which one is least stable? entry a is the most stable of them, while entry b is the least stable.